Record 1
Density functional theory data (PBE-GGA) for a relaxed TaInAsSe2 crystal.

The structure in POSCAR format:
```
TaInAsSe2
1.0
5.255 0.000 0.000
0.000 5.255 0.000
0.000 0.000 5.206
As In Se Ta
1 1 2 1
Cartesian
0.000 0.000 2.603
0.000 0.000 0.000
0.000 2.628 0.000
2.628 0.000 0.000
2.628 2.628 2.603
```

The calculation puts the magnetic moment at 0.1 μB per formula unit. As for the energy above the most stable polymorph in this dataset: 1454.1 meV/atom. For the uncorrected formation energy, the calculation gives 6.50 eV per formula unit. The value obtained for the electronic total energy is -3.942 eV per atom.

***

Record 2
Density functional theory data (PBE-GGA) for a relaxed TaInAsSe2 crystal.

The structure in POSCAR format:
```
TaInAsSe2
1.0
-0.475 5.003 0.634
0.464 -0.591 5.009
5.070 0.533 -0.406
As In Se Ta
1 1 2 1
Cartesian
2.535 0.267 -0.203
2.529 2.473 2.619
0.232 -0.296 2.505
-0.238 2.501 0.317
0.000 0.000 0.000
```

The calculation puts the magnetic moment at 0.0 μB per formula unit. As for the energy above the most stable polymorph in this dataset: 0.0 meV/atom. For the uncorrected formation energy, the calculation gives -0.77 eV per formula unit. The value obtained for the electronic total energy is -5.396 eV per atom.

***

Record 3
Density functional theory data (PBE-GGA) for a relaxed InTcAsSe2 crystal.

The structure in POSCAR format:
```
InTcAsSe2
1.0
-2.672 4.038 1.405
-4.237 -2.279 -1.507
-0.540 -1.870 4.347
As Tc Se In
1 1 2 1
Cartesian
-0.270 -0.935 2.174
0.000 0.000 0.000
-2.118 -1.140 -0.753
-1.336 2.019 0.703
-3.724 -0.056 2.123
```

The calculation puts the magnetic moment at 0.1 μB per formula unit. As for the energy above the most stable polymorph in this dataset: 0.0 meV/atom. For the uncorrected formation energy, the calculation gives 1.12 eV per formula unit. The value obtained for the electronic total energy is -4.720 eV per atom.